1.
A relaxed CaCuSi2Ir crystal. Source: Alexandria via LeMat-Bulk, functional PBE-GGA.

a b c (Å): 4.085 4.085 10.027
angles (deg): 90.00 90.00 90.00
Space group I-4m2 (No. 119)
Symmetry-distinct sites (fractional):
Ca 0.000 0.000 0.000 x2
Cu 0.000 0.500 0.750 x2
Si 0.000 0.000 0.377 x4
Ir 0.000 0.500 0.250 x2

Results
As for the calculated volume: 83.65 Å³/f.u. The total magnetic moment is 0.000 μB per atom. The uncorrected formation energy is -0.615 eV/atom. As for the crystal system: tetragonal.

2.
A relaxed Ca2As2Pt crystal. Source: Alexandria via LeMat-Bulk, functional PBE-GGA.

a b c (Å): 8.287 8.287 3.296
angles (deg): 90.00 90.00 90.00
Space group P4/mbm (No. 127)
Symmetry-distinct sites (fractional):
Ca 0.136 0.364 0.000 x4
As 0.172 0.672 0.500 x4
Pt 0.000 0.000 0.000 x2

Results
As for the calculated volume: 113.19 Å³/f.u. As for the relative energy among the computed polymorphs: 0.679 eV/atom. For the formation energy, the calculation gives -316 meV/atom. The total magnetic moment is 0.000 μB per atom. As for the crystal system: tetragonal.

3.
A relaxed ZnW crystal. Source: Alexandria via LeMat-Bulk, functional PBE-GGA.

a b c (Å): 2.674 10.507 4.522
angles (deg): 90.00 90.00 90.00
Space group Cmcm (No. 63)
Symmetry-distinct sites (fractional):
Zn 0.000 0.173 0.250 x4
W 0.000 0.435 0.250 x4

Results
As for the calculated volume: 31.76 Å³/f.u. As for the relative energy among the computed polymorphs: 0.329 eV/atom. For the formation energy, the calculation gives 492 meV/atom. The total magnetic moment is 0.000 μB per atom. As for the crystal system: orthorhombic.

4.
A relaxed Tb2PtPb crystal. Source: Alexandria via LeMat-Bulk, functional PBE-GGA.

a b c (Å): 7.399 4.260 7.160
angles (deg): 90.00 90.05 90.00
Space group C2/m (No. 12)
Symmetry-distinct sites (fractional):
Tb 0.167 0.000 0.205 x4
Pt 0.000 0.500 0.000 x2
Pb 0.000 0.500 0.500 x2

Results
As for the calculated volume: 112.85 Å³/f.u. For the formation energy, the calculation gives -737 meV/atom. The total magnetic moment is 0.000 μB per atom. As for the crystal system: monoclinic.

5.
A relaxed NpBe4Al crystal. Source: Alexandria via LeMat-Bulk, functional PBE-GGA.

a b c (Å): 6.727 6.727 6.727
angles (deg): 90.00 90.00 90.00
Space group F-43m (No. 216)
Symmetry-distinct sites (fractional):
Np 0.000 0.000 0.000 x4
Be 0.127 0.127 0.373 x16
Al 0.250 0.250 0.750 x4

Results
As for the calculated volume: 76.11 Å³/f.u. For the formation energy, the calculation gives 329 meV/atom. The total magnetic moment is 0.665 μB per atom. As for the crystal system: cubic.

6.
A relaxed Ac2NiH crystal. Source: Alexandria via LeMat-Bulk, functional PBE-GGA.

a b c (Å): 4.2214 4.2214 19.7886
angles (deg): 90.00 90.00 120.00
Space group R-3m (No. 166, hexagonal axes)
Symmetry-distinct sites (fractional):
Ac 0.0000 0.0000 0.2487 x6
Ni 0.0000 0.0000 0.0000 x3
H 0.0000 0.0000 0.5000 x3

Results
As for the calculated volume: 101.80 Å³/f.u. As for the relative energy among the computed polymorphs: 0.000 eV/atom. The total magnetic moment is 0.000 μB per atom. As for the crystal system: trigonal.

7.
A relaxed Pa2BeBi crystal. Source: Alexandria via LeMat-Bulk, functional PBE-GGA.

a b c (Å): 4.0845 4.0845 21.4267
angles (deg): 90.00 90.00 120.00
Space group R-3m (No. 166, hexagonal axes)
Symmetry-distinct sites (fractional):
Pa 0.0000 0.0000 0.2310 x6
Be 0.0000 0.0000 0.5000 x3
Bi 0.0000 0.0000 0.0000 x3

Results
As for the calculated volume: 103.19 Å³/f.u. For the formation energy, the calculation gives 288 meV/atom. The total magnetic moment is 0.000 μB per atom. As for the crystal system: trigonal.

8.
A relaxed Mo2PdPt2 crystal. Source: Alexandria via LeMat-Bulk, functional PBE-GGA.

a b c (Å): 7.698 7.698 2.765
angles (deg): 90.00 90.00 90.00
Space group P4/mbm (No. 127)
Symmetry-distinct sites (fractional):
Mo 0.172 0.328 0.000 x4
Pd 0.000 0.000 0.500 x2
Pt 0.125 0.625 0.500 x4

Results
As for the calculated volume: 81.93 Å³/f.u. As for the relative energy among the computed polymorphs: 0.140 eV/atom. For the formation energy, the calculation gives -53 meV/atom. The total magnetic moment is 0.000 μB per atom. As for the crystal system: tetragonal.

9.
A relaxed GaNi2 crystal. Source: Alexandria via LeMat-Bulk, functional PBE-GGA.

a b c (Å): 2.6802 2.6802 5.8694
angles (deg): 90.00 90.00 120.00
Space group P-3m1 (No. 164)
Symmetry-distinct sites (fractional):
Ga 0.0000 0.0000 0.0000 x1
Ni 0.3333 0.6667 0.3306 x2

Results
As for the calculated volume: 36.51 Å³/f.u. For the formation energy, the calculation gives -99 meV/atom. The total magnetic moment is 0.001 μB per atom. As for the crystal system: trigonal.

10.
A relaxed La2TbAl crystal. Source: Alexandria via LeMat-Bulk, functional PBE-GGA.

a b c (Å): 7.076 5.411 7.124
angles (deg): 90.00 119.76 90.00
Space group P2_1/m (No. 11)
Symmetry-distinct sites (fractional):
La 0.141 0.250 0.326 x2
La 0.314 0.750 0.673 x2
Tb 0.322 0.750 0.143 x2
Al 0.176 0.250 0.851 x2

Results
As for the calculated volume: 118.39 Å³/f.u. As for the relative energy among the computed polymorphs: 0.000 eV/atom. For the formation energy, the calculation gives -187 meV/atom. The total magnetic moment is 0.000 μB per atom. As for the crystal system: monoclinic.

11.
A relaxed Th2Mg3In3 crystal. Source: Alexandria via LeMat-Bulk, functional PBE-GGA.

a b c (Å): 4.720 4.774 9.301
angles (deg): 90.00 90.00 90.00
Space group Pmmm (No. 47)
Symmetry-distinct sites (fractional):
Th 0.000 0.000 0.247 x2
Mg 0.000 0.500 0.500 x1
Mg 0.500 0.500 0.253 x2
In 0.000 0.500 0.000 x1
In 0.500 0.000 0.000 x1
In 0.500 0.000 0.500 x1

Results
As for the calculated volume: 209.57 Å³/f.u. For the formation energy, the calculation gives -218 meV/atom. The total magnetic moment is 0.000 μB per atom. As for the crystal system: orthorhombic.

12.
A relaxed Tm2ZnSn3 crystal. Source: Alexandria via LeMat-Bulk, functional PBE-GGA.

a b c (Å): 12.844 8.687 5.919
angles (deg): 90.00 90.00 90.00
Space group Cmcm (No. 63)
Symmetry-distinct sites (fractional):
Tm 0.151 0.187 0.250 x8
Zn 0.000 0.394 0.750 x4
Sn 0.000 0.087 0.750 x4
Sn 0.176 0.500 0.000 x8

Results
As for the calculated volume: 165.11 Å³/f.u. For the formation energy, the calculation gives -181 meV/atom. The total magnetic moment is 0.000 μB per atom. As for the crystal system: orthorhombic.

13.
A relaxed Sr2PbSe crystal. Source: Alexandria via LeMat-Bulk, functional PBE-GGA.

a b c (Å): 4.624 4.624 12.613
angles (deg): 90.00 90.00 90.00
Space group I-4m2 (No. 119)
Symmetry-distinct sites (fractional):
Sr 0.000 0.000 0.000 x2
Sr 0.000 0.500 0.250 x2
Pb 0.000 0.500 0.750 x2
Se 0.000 0.000 0.500 x2

Results
As for the calculated volume: 134.84 Å³/f.u. As for the relative energy among the computed polymorphs: 0.371 eV/atom. The total magnetic moment is 0.000 μB per atom. The uncorrected formation energy is -0.829 eV/atom. As for the crystal system: tetragonal.

14.
A relaxed Ac2Tl4Cd3 crystal. Source: Alexandria via LeMat-Bulk, functional PBE-GGA.

a b c (Å): 6.749 17.305 9.071
angles (deg): 90.00 90.00 90.00
Space group Cmce (No. 64)
Symmetry-distinct sites (fractional):
Ac 0.000 0.113 0.085 x8
Tl 0.000 0.177 0.471 x8
Tl 0.250 0.052 0.750 x8
Cd 0.000 0.000 0.500 x4
Cd 0.250 0.224 0.750 x8

Results
As for the calculated volume: 264.86 Å³/f.u. For the formation energy, the calculation gives -216 meV/atom. The total magnetic moment is 0.000 μB per atom. As for the crystal system: orthorhombic.

15.
A relaxed MgPbF4 crystal. Source: Alexandria via LeMat-Bulk, functional PBE-GGA.

a b c (Å): 4.028 14.845 5.720
angles (deg): 90.00 90.00 90.00
Space group Cmc2_1 (No. 36)
Symmetry-distinct sites (fractional):
Mg 0.000 0.083 0.000 x4
Pb 0.000 0.341 0.955 x4
F 0.000 0.031 0.326 x4
F 0.000 0.163 0.718 x4
F 0.000 0.202 0.192 x4
F 0.000 0.412 0.513 x4

Results
As for the calculated volume: 85.49 Å³/f.u. The total magnetic moment is 0.000 μB per atom. The uncorrected formation energy is -2.956 eV/atom. As for the crystal system: orthorhombic.

16.
A relaxed Eu2HoMg crystal. Source: Alexandria via LeMat-Bulk, functional PBE-GGA.

a b c (Å): 5.108 5.108 5.150
angles (deg): 90.00 90.00 90.00
Space group P4/mmm (No. 123)
Symmetry-distinct sites (fractional):
Eu 0.000 0.500 0.000 x2
Ho 0.000 0.000 0.500 x1
Mg 0.500 0.500 0.500 x1

Results
As for the calculated volume: 134.34 Å³/f.u. As for the relative energy among the computed polymorphs: 0.037 eV/atom. For the formation energy, the calculation gives 83 meV/atom. The total magnetic moment is 3.847 μB per atom. As for the crystal system: tetragonal.

17.
A relaxed CsCu2Ag2 crystal. Source: Alexandria via LeMat-Bulk, functional PBE-GGA.

a b c (Å): 8.352 8.352 3.109
angles (deg): 90.00 90.00 90.00
Space group P4/mbm (No. 127)
Symmetry-distinct sites (fractional):
Cs 0.000 0.000 0.000 x2
Cu 0.158 0.342 0.500 x4
Ag 0.124 0.624 0.000 x4

Results
As for the calculated volume: 108.42 Å³/f.u. As for the relative energy among the computed polymorphs: 0.074 eV/atom. For the formation energy, the calculation gives 425 meV/atom. The total magnetic moment is 0.000 μB per atom. As for the crystal system: tetragonal.

18.
A relaxed LiCd2Hg5 crystal. Source: Alexandria via LeMat-Bulk, functional PBE-GGA.

a b c (Å): 5.233 10.366 14.110
angles (deg): 90.00 90.00 90.00
Space group Cmcm (No. 63)
Symmetry-distinct sites (fractional):
Li 0.000 0.241 0.250 x4
Cd 0.000 0.229 0.644 x8
Hg 0.000 0.061 0.105 x8
Hg 0.000 0.363 0.047 x8
Hg 0.000 0.493 0.750 x4

Results
As for the calculated volume: 191.33 Å³/f.u. As for the relative energy among the computed polymorphs: 0.008 eV/atom. For the formation energy, the calculation gives -64 meV/atom. The total magnetic moment is 0.000 μB per atom. As for the crystal system: orthorhombic.

19.
A relaxed ZrPt3I crystal. Source: Alexandria via LeMat-Bulk, functional PBE-GGA.

a b c (Å): 4.929 4.929 4.929
angles (deg): 90.00 90.00 90.00
Space group Pm-3m (No. 221)
Symmetry-distinct sites (fractional):
Zr 0.000 0.000 0.000 x1
Pt 0.000 0.500 0.500 x3
I 0.500 0.500 0.500 x1

Results
As for the calculated volume: 119.76 Å³/f.u. The total magnetic moment is 0.101 μB per atom. The uncorrected formation energy is 0.925 eV/atom. As for the crystal system: cubic.

20.
A relaxed AcHo2As crystal. Source: Alexandria via LeMat-Bulk, functional PBE-GGA.

a b c (Å): 3.8499 3.8499 32.2618
angles (deg): 90.00 90.00 120.00
Space group R-3m (No. 166, hexagonal axes)
Symmetry-distinct sites (fractional):
Ac 0.0000 0.0000 0.0000 x3
Ho 0.0000 0.0000 0.1143 x6
As 0.0000 0.0000 0.5000 x3

Results
As for the calculated volume: 138.04 Å³/f.u. For the formation energy, the calculation gives -468 meV/atom. The total magnetic moment is 0.000 μB per atom. As for the crystal system: trigonal.